## DyTl2SbTe4 (GGA-PBE)

Data for a relaxed structure of DyTl2SbTe4.

Calculated values
The calculated total energy is -3.8881 eV per atom. The calculation puts the energy relative to the elements, uncorrected at -61.28 kJ/mol of atoms.

Lattice parameters (Å, degrees): 4.4701 7.7879 8.4741 107.74 90.00 90.00
Last column: nearest neighbours and their distance in Å.
Element x y z (fractional)
Dy: 0.5000 0.5000 0.0000  6 Te 3.11
Tl: 0.5000 0.0000 0.5000  6 Te 3.47-3.48
Tl: 0.0000 0.5000 0.5000  6 Te 3.47-3.48
Sb: 0.0000 0.0000 0.0000  6 Te 3.11
Te: 0.5000 0.2385 0.2131  1 Dy 3.11, 2 Sb 3.11, 2 Tl 3.47
Te: 0.5000 0.7615 0.7869  1 Dy 3.11, 2 Sb 3.11, 2 Tl 3.47
Te: 0.0000 0.2620 0.7874  2 Dy 3.11, 1 Sb 3.11, 2 Tl 3.47
Te: 0.0000 0.7380 0.2126  2 Dy 3.11, 1 Sb 3.11, 2 Tl 3.47

## Li4Zn3Pd (GGA-PBE)

Data for a relaxed structure of Li4Zn3Pd.

Calculated values
The calculated total energy is -2.3424 eV per atom. The calculation puts the formation energy at -259 meV/atom.

Lattice parameters (Å, degrees): 5.5526 6.4782 6.5350 90.00 90.00 90.00
Last column: nearest neighbours and their distance in Å.
Element x y z (fractional)
Zn: 0.0000 0.8114 0.9557  1 Pd 2.69, 4 Zn 2.72-2.76, 6 Li 2.72-2.79
Zn: 0.2508 0.1014 0.7440  5 Li 2.68-2.75, 2 Pd 2.69-2.70, 4 Zn 2.72-2.79
Zn: 0.2492 0.6014 0.2560  5 Li 2.68-2.75, 2 Pd 2.69-2.70, 4 Zn 2.72-2.79
Zn: 0.5000 0.3114 0.0443  1 Pd 2.69, 4 Zn 2.72-2.76, 6 Li 2.72-2.79
Zn: 0.7508 0.6014 0.2560  5 Li 2.68-2.75, 2 Pd 2.69-2.70, 4 Zn 2.72-2.79
Zn: 0.7492 0.1014 0.7440  5 Li 2.68-2.75, 2 Pd 2.69-2.70, 4 Zn 2.72-2.79
Pd: 0.0000 0.8070 0.5435  6 Li 2.64-2.78, 5 Zn 2.69-2.70
Pd: 0.5000 0.3070 0.4565  6 Li 2.64-2.78, 5 Zn 2.69-2.70
Li: 0.0000 0.3199 0.0280  5 Li 2.71-2.90, 6 Zn 2.72-2.78
Li: 0.0000 0.3223 0.4717  5 Li 2.61-2.90, 4 Zn 2.68, 2 Pd 2.78
Li: 0.2452 0.0259 0.2609  6 Li 2.61-2.83, 2 Pd 2.64-2.70, 3 Zn 2.72-2.79
Li: 0.2548 0.5259 0.7391  6 Li 2.61-2.83, 2 Pd 2.64-2.70, 3 Zn 2.72-2.79
Li: 0.5000 0.8223 0.5283  5 Li 2.61-2.90, 4 Zn 2.68, 2 Pd 2.78
Li: 0.5000 0.8199 0.9720  5 Li 2.71-2.90, 6 Zn 2.72-2.78
Li: 0.7451 0.5259 0.7391  6 Li 2.61-2.83, 2 Pd 2.64-2.70, 3 Zn 2.72-2.79
Li: 0.7548 0.0259 0.2609  6 Li 2.61-2.83, 2 Pd 2.64-2.70, 3 Zn 2.72-2.79